Below is a geometry-optimized SrVO3 structure, with properties calculated at the PBE with a Hubbard U level.

Symmetry: Amm2, No. 38
Magnetization (μB per atom): 0.20
V (Å³/cell): 101.87
Energy (eV/cell): -34.7

```
data_SrVO3
_cell_length_a 3.044
_cell_length_b 6.092
_cell_length_c 6.092
_cell_angle_alpha 64.41
_cell_angle_beta 90.00
_cell_angle_gamma 90.00
_space_group_name_H-M_alt 'P 1'
_space_group_IT_number 1
_space_group_name_Hall 'P 1'
loop_
_atom_site_label
_atom_site_type_symbol
_atom_site_fract_x
_atom_site_fract_y
_atom_site_fract_z
Sr1 Sr 0.000 0.000 0.000
V1 V 0.500 0.342 0.342
O1 O 0.000 0.202 0.575
O2 O 0.000 0.575 0.202
O3 O 0.500 0.173 0.173
```